# ThCdNi10 PBE relaxed
# DFT formation energy   -141 meV/atom
# Total moment   0.29 μB/atom
data_ThCdNi10
_cell_length_a 4.019
_cell_length_b 4.853
_cell_length_c 8.375
_cell_angle_alpha 90.00
_cell_angle_beta 90.00
_cell_angle_gamma 90.00
_space_group_name_H-M_alt 'P m m m'
_space_group_IT_number 47
_space_group_name_Hall '-P 2 2'
loop_
_atom_site_label
_atom_site_type_symbol
_atom_site_fract_x
_atom_site_fract_y
_atom_site_fract_z
Th1 Th 0.000 0.000 0.000
Cd1 Cd 0.000 0.500 0.500
Ni1 Ni 0.000 0.000 0.340
Ni2 Ni 0.000 0.500 0.177
Ni3 Ni 0.500 0.000 0.500
Ni4 Ni 0.500 0.250 0.253
Ni5 Ni 0.500 0.500 0.000


# ThCd2Ni PBE relaxed
# DFT formation energy   381 meV/atom
# Total moment   0.00 μB/atom
data_ThCd2Ni
_cell_length_a 3.2188
_cell_length_b 3.2188
_cell_length_c 31.5202
_cell_angle_alpha 90.00
_cell_angle_beta 90.00
_cell_angle_gamma 120.00
_space_group_name_H-M_alt 'R -3 m'
_space_group_IT_number 166
_space_group_name_Hall '-R 3 2"'
loop_
_atom_site_label
_atom_site_type_symbol
_atom_site_fract_x
_atom_site_fract_y
_atom_site_fract_z
Th1 Th 0.0000 0.0000 0.0000
Cd1 Cd 0.0000 0.0000 0.1053
Ni1 Ni 0.0000 0.0000 0.5000


# Th2Cd3Ni2 PBE relaxed
# DFT formation energy   -273 meV/atom
# Total moment   0.00 μB/atom
data_Th2Cd3Ni2
_cell_length_a 9.867
_cell_length_b 4.244
_cell_length_c 7.323
_cell_angle_alpha 90.00
_cell_angle_beta 94.27
_cell_angle_gamma 90.00
_space_group_name_H-M_alt 'C 1 2/m 1'
_space_group_IT_number 12
_space_group_name_Hall '-C 2y'
loop_
_atom_site_label
_atom_site_type_symbol
_atom_site_fract_x
_atom_site_fract_y
_atom_site_fract_z
Th1 Th 0.129 0.000 0.357
Cd1 Cd 0.000 0.500 0.000
Cd2 Cd 0.180 0.000 0.863
Ni1 Ni 0.089 0.500 0.633